The following is a meta-GGA SCAN calculation of BaTeSe2N at its PBEsol-relaxed geometry, from the Alexandria database.

Cell lengths 4.425, 5.952, 5.952 Å; angles 90.00, 90.00, 90.00 degrees
Positions (direct):
N  0.500  0.000  0.000
Se  0.000  0.500  0.000
Se  0.000  0.000  0.500
Ba  0.000  0.000  0.000
Te  0.500  0.500  0.500

## Properties
- E: -24.187 eV/atom
- Uncorrected formation energy: 1.063 eV/atom
- Space-group type: P4/mmm (123)
- DOS(E_F): 1.11 states/eV/atom
- Crystal system: tetragonal
- Total moment: 1.62 μB/f.u.